Entry 1:
Material: PrTc2W
Method: DFT, PBE
State: relaxed

extended XYZ file:
```
4
Lattice="3.208 0.000 0.000 0.000 3.208 0.000 0.000 0.000 7.272" Properties=species:S:1:pos:R:3 pbc="T T T"
Pr 1.604 1.604 3.636
Tc 0.000 0.000 5.809
Tc 0.000 0.000 1.462
W 1.604 1.604 0.000
```

Computed properties:
Its density of states at the Fermi level is 1.199 states/eV/atom. For the energy of formation from the pure elements, the calculation gives 0.88 eV per formula unit. As for the total magnetization: 0.000 μB per atom. For the total energy, the calculation gives -9.3971 eV/atom.

Entry 2:
Material: PrY4Tc
Method: DFT, PBE
State: relaxed

extended XYZ file:
```
12
Lattice="-1.611 -5.602 -2.335 7.422 0.723 -2.872 0.560 -1.743 7.779" Properties=species:S:1:pos:R:3 pbc="T T T"
Pr 3.522 -4.446 -0.445
Pr 2.850 -2.176 3.017
Y 3.870 -5.878 2.577
Y 7.018 -0.084 -0.712
Y 0.428 -4.002 0.794
Y 4.734 -2.093 -2.649
Y 1.638 -4.529 5.220
Y 5.943 -2.621 1.777
Y -0.646 -6.538 3.284
Y 2.501 -0.745 -0.006
Tc 6.999 -0.685 -3.423
Tc -0.627 -5.937 5.995
```

Computed properties:
Its density of states at the Fermi level is 1.209 states/eV/atom. For the energy of formation from the pure elements, the calculation gives 0.07 eV per formula unit. As for the total magnetization: 0.000 μB per atom. For the total energy, the calculation gives -6.8215 eV/atom.

Entry 3:
Material: PrYTc4
Method: DFT, PBE
State: relaxed

extended XYZ file:
```
6
Lattice="-1.457 3.882 -3.559 -1.570 -1.374 -5.051 -5.235 0.531 -1.474" Properties=species:S:1:pos:R:3 pbc="T T T"
Pr -2.065 0.760 -2.521
Y 0.000 0.000 0.000
Tc -2.544 1.634 -5.566
Tc -4.379 2.587 -3.776
Tc -5.164 1.900 -6.303
Tc -4.435 -0.043 -4.522
```

Computed properties:
Its density of states at the Fermi level is 1.546 states/eV/atom. For the energy of formation from the pure elements, the calculation gives -0.03 eV per formula unit. As for the total magnetization: 0.001 μB per atom. For the total energy, the calculation gives -8.7888 eV/atom.

Entry 4:
Material: Pr3YTc
Method: DFT, PBE
State: relaxed

extended XYZ file:
```
20
Lattice="-0.553 2.102 -6.068 -9.771 4.016 1.595 -1.318 10.180 2.960" Properties=species:S:1:pos:R:3 pbc="T T T"
Pr -7.499 4.428 -2.885
Pr -10.499 8.488 -2.644
Pr -4.144 11.870 1.372
Pr -1.144 7.810 1.130
Pr -5.547 13.291 -1.479
Pr -1.355 7.717 -2.258
Pr -6.096 3.007 -0.034
Pr -10.287 8.581 0.745
Pr -7.460 10.741 0.219
Pr -3.380 4.889 1.386
Pr -4.182 5.556 -1.733
Pr -8.262 11.409 -2.900
Y -9.064 5.157 0.214
Y -2.579 11.140 -1.728
Y -4.752 8.303 0.911
Y -6.891 7.995 -2.424
Tc -5.333 10.443 -1.501
Tc -3.966 8.817 -2.623
Tc -6.309 5.855 -0.012
Tc -7.677 7.481 1.110
```

Computed properties:
Its density of states at the Fermi level is 1.254 states/eV/atom. For the energy of formation from the pure elements, the calculation gives 0.71 eV per formula unit. As for the total magnetization: 0.000 μB per atom. For the total energy, the calculation gives -6.0910 eV/atom.

Q: Which of these has the lowest energy of formation from the pure elements?
A: PrYTc4